(1)
Computed, not measured: crystalline Hf6TcN at its relaxed geometry at the PBE level of DFT.

Cell lengths 5.021, 5.714, 5.801 Å; angles 97.44, 113.32, 91.06 degrees
Space group P-1 (No. 2)
Asymmetric unit:
Hf 0.065 0.285 0.157 [2 per cell]
Hf 0.235 0.830 0.486 [2 per cell]
Hf 0.389 0.366 0.759 [2 per cell]
Tc 0.500 0.000 0.000 [1 per cell]
N 0.000 0.500 0.500 [1 per cell]

## Properties
For the uncorrected formation energy, the calculation gives -0.5469 eV per atom.

=====

(2)
Computed, not measured: crystalline Hf4TcN2 at its relaxed geometry at the PBE level of DFT.

Cell lengths 3.301, 11.106, 11.651 Å; angles 90.00, 90.00, 90.00 degrees
Space group Cmcm (No. 63)
Asymmetric unit:
Hf 0.000 0.000 0.000 [4 per cell]
Hf 0.000 0.270 0.109 [8 per cell]
Hf 0.000 0.423 0.750 [4 per cell]
Tc 0.000 0.105 0.750 [4 per cell]
N 0.000 0.367 0.557 [8 per cell]

## Properties
For the uncorrected formation energy, the calculation gives -1.1129 eV per atom.

=====

(3)
Computed, not measured: crystalline Hf6Tc2N at its relaxed geometry at the PBE level of DFT.

Cell lengths 6.010, 6.304, 10.589 Å; angles 90.00, 122.40, 90.00 degrees
Space group P2_1/c (No. 14)
Asymmetric unit:
Hf 0.140 0.029 0.243 [4 per cell]
Hf 0.229 0.691 0.047 [4 per cell]
Hf 0.358 0.185 0.045 [4 per cell]
Tc 0.304 0.088 0.761 [4 per cell]
N 0.000 0.000 0.000 [2 per cell]

## Properties
For the uncorrected formation energy, the calculation gives -0.4892 eV per atom.

=====

(4)
Computed, not measured: crystalline HfTcN2 at its relaxed geometry at the PBE level of DFT.

Cell lengths 3.1508, 3.1508, 16.0533 Å; angles 90.00, 90.00, 120.00 degrees
Space group R3m (No. 160, hexagonal axes)
Asymmetric unit:
Hf 0.0000 0.0000 0.0000 [3 per cell]
Tc 0.0000 0.0000 0.8162 [3 per cell]
N 0.0000 0.0000 0.4193 [3 per cell]
N 0.0000 0.0000 0.5969 [3 per cell]

## Properties
For the uncorrected formation energy, the calculation gives -0.5994 eV per atom.

=====

(5)
Computed, not measured: crystalline HfTcTe2N at its relaxed geometry at the PBE level of DFT.

Cell lengths 5.683, 5.683, 3.931 Å; angles 90.00, 90.00, 90.00 degrees
Space group P4/mmm (No. 123)
Asymmetric unit:
Hf 0.000 0.000 0.000 [1 per cell]
Tc 0.500 0.500 0.500 [1 per cell]
Te 0.000 0.500 0.000 [2 per cell]
N 0.000 0.000 0.500 [1 per cell]

## Properties
For the uncorrected formation energy, the calculation gives 0.6011 eV per atom.

=====

(6)
Computed, not measured: crystalline HfTcTeN2 at its relaxed geometry at the PBE level of DFT.

Cell lengths 4.113, 4.113, 5.998 Å; angles 90.00, 90.00, 90.00 degrees
Space group P4/mmm (No. 123)
Asymmetric unit:
Hf 0.000 0.000 0.000 [1 per cell]
Tc 0.500 0.500 0.500 [1 per cell]
Te 0.000 0.000 0.500 [1 per cell]
N 0.000 0.500 0.000 [2 per cell]

## Properties
For the uncorrected formation energy, the calculation gives 0.7803 eV per atom.

=====

(7)
Computed, not measured: crystalline HfTcTe2N at its relaxed geometry at the PBE level of DFT.

Cell lengths 5.409, 5.409, 3.702 Å; angles 90.00, 90.00, 90.00 degrees
Space group P4/mmm (No. 123)
Asymmetric unit:
Hf 0.000 0.000 0.000 [1 per cell]
Tc 0.500 0.500 0.500 [1 per cell]
Te 0.000 0.500 0.500 [2 per cell]
N 0.500 0.500 0.000 [1 per cell]

## Properties
For the uncorrected formation energy, the calculation gives 0.2624 eV per atom.

=====

(8)
Computed, not measured: crystalline HfTcTeN2 at its relaxed geometry at the PBE level of DFT.

Cell lengths 3.961, 3.961, 5.414 Å; angles 90.00, 90.00, 90.00 degrees
Space group P4/mmm (No. 123)
Asymmetric unit:
Hf 0.000 0.000 0.000 [1 per cell]
Tc 0.500 0.500 0.500 [1 per cell]
Te 0.500 0.500 0.000 [1 per cell]
N 0.000 0.500 0.500 [2 per cell]

## Properties
For the uncorrected formation energy, the calculation gives 0.6583 eV per atom.

=====

(9)
Computed, not measured: crystalline HfTiTcN2 at its relaxed geometry at the PBE level of DFT.

Cell lengths 3.935, 3.935, 4.840 Å; angles 90.00, 90.00, 90.00 degrees
Space group P4/mmm (No. 123)
Asymmetric unit:
Hf 0.000 0.000 0.000 [1 per cell]
Ti 0.500 0.500 0.000 [1 per cell]
Tc 0.500 0.500 0.500 [1 per cell]
N 0.000 0.500 0.500 [2 per cell]

## Properties
For the uncorrected formation energy, the calculation gives 0.7655 eV per atom.

=====

(10)
Computed, not measured: crystalline HfTiTcN2 at its relaxed geometry at the PBE level of DFT.

Cell lengths 4.049, 4.049, 5.477 Å; angles 90.00, 90.00, 90.00 degrees
Space group P4/mmm (No. 123)
Asymmetric unit:
Hf 0.000 0.000 0.000 [1 per cell]
Ti 0.000 0.000 0.500 [1 per cell]
Tc 0.500 0.500 0.500 [1 per cell]
N 0.000 0.500 0.000 [2 per cell]

## Properties
For the uncorrected formation energy, the calculation gives 1.2602 eV per atom.

=====

(11)
Computed, not measured: crystalline Hf2VTcN at its relaxed geometry at the PBE level of DFT.

Cell lengths 4.518, 4.518, 3.732 Å; angles 90.00, 90.00, 90.00 degrees
Space group P4/mmm (No. 123)
Asymmetric unit:
Hf 0.000 0.500 0.000 [2 per cell]
V 0.000 0.000 0.500 [1 per cell]
Tc 0.500 0.500 0.500 [1 per cell]
N 0.000 0.000 0.000 [1 per cell]

## Properties
For the uncorrected formation energy, the calculation gives -0.7455 eV per atom.